1.
The following is a PBE calculation of a relaxed Ce2BAsPt6 crystal, from Alexandria.

CIF file:
```
data_Ce2BAsPt6
_symmetry_space_group_name_H-M 'P m m n'
_symmetry_Int_Tables_number 59
_cell_length_a 5.773
_cell_length_b 8.493
_cell_length_c 7.553
_cell_angle_alpha 90.00
_cell_angle_beta 90.00
_cell_angle_gamma 90.00
loop_
_symmetry_equiv_pos_as_xyz
'x,y,z'
'-x,-y,-z'
'-x+1/2,-y+1/2,z'
'x+1/2,y+1/2,-z'
'x+1/2,-y,-z'
'-x+1/2,y,z'
'-x,y+1/2,-z'
'x,-y+1/2,z'
loop_
_atom_site_label
_atom_site_type_symbol
_atom_site_fract_x
_atom_site_fract_y
_atom_site_fract_z
Ce1 Ce 0.250 0.034 0.221
B1 B 0.250 0.250 0.695
As1 As 0.250 0.750 0.832
Pt1 Pt 0.006 0.750 0.503
Pt2 Pt 0.012 0.250 0.910
Pt3 Pt 0.250 0.501 0.660
```

2.
The following is a PBE calculation of a relaxed La3Zn2Sn2 crystal, from Alexandria.

CIF file:
```
data_La3Zn2Sn2
_symmetry_space_group_name_H-M 'I m m m'
_symmetry_Int_Tables_number 71
_symmetry_space_group_name_Hall '-I 2 2'
_cell_length_a 4.498
_cell_length_b 4.576
_cell_length_c 19.540
_cell_angle_alpha 90.00
_cell_angle_beta 90.00
_cell_angle_gamma 90.00
loop_
_atom_site_label
_atom_site_type_symbol
_atom_site_fract_x
_atom_site_fract_y
_atom_site_fract_z
La1 La 0.000 0.000 0.000
La2 La 0.000 0.500 0.316
Zn1 Zn 0.000 0.000 0.438
Sn1 Sn 0.000 0.500 0.141
```

Going through the records in order, we get DOS(E_F) values of 1.37 0.85 states/eV per atom.
Going through the records in order, we get total moment values of 1.39 0.41 μB/f.u..
Going through the records in order, we get energy relative to the elements values of -0.799 -0.626 eV per atom.